Entry 1:
Material: NiRuN2O
Method: DFT, GGA+U
State: optimized geometry

Summary:
E_tot in eV per cell: -26.329
N(E_F) in states/eV/cell: 3.62
Space group: P4/mmm
Total magnetic moment in μB/cell: 0.624

Cell: 3.6568 3.6568 3.6492 Å, 90.00 90.00 90.00°
Each line ends with the local moment (μB).
Atoms (fractional coordinates):
N  0.5000  0.0000  0.0000  -0.08
N  0.0000  0.5000  0.0000  -0.08
Ni  0.0000  0.0000  0.0000  0.87
Ru  0.5000  0.5000  0.5000  -0.03
O  0.0000  0.0000  0.5000  -0.03

Entry 2:
Material: NiSNO2
Method: DFT, GGA+U
State: optimized geometry

Summary:
E_tot in eV per cell: -19.404
N(E_F) in states/eV/cell: 2.94
Space group: P4/mmm
Total magnetic moment in μB/cell: 0.095

Cell: 3.7004 3.7004 3.7976 Å, 90.00 90.00 90.00°
Each line ends with the local moment (μB).
Atoms (fractional coordinates):
Ni  0.0000  0.0000  0.0000  1.10
O  0.0000  0.5000  0.0000  -0.15
O  0.5000  0.0000  0.0000  -0.15
N  0.0000  0.0000  0.5000  -0.60
S  0.5000  0.5000  0.5000  0.10

Entry 3:
Material: NiS2NO
Method: DFT, GGA+U
State: optimized geometry

Summary:
Excess energy over the best structure of this formula in the dataset in meV per atom: 39
E_tot in eV per cell: -15.838
N(E_F) in states/eV/cell: 3.18
Space group: P4/mmm
Total magnetic moment in μB/cell: 2.393

Cell: 4.1066 4.1066 3.8215 Å, 90.00 90.00 90.00°
Each line ends with the local moment (μB).
Atoms (fractional coordinates):
N  0.0000  0.0000  0.5000  0.50
O  0.0000  0.0000  0.0000  -0.03
S  0.0000  0.5000  0.0000  0.18
S  0.5000  0.0000  0.0000  0.18
Ni  0.5000  0.5000  0.5000  1.27

Entry 4:
Material: NiS2NO
Method: DFT, GGA+U
State: optimized geometry

Summary:
Excess energy over the best structure of this formula in the dataset in meV per atom: 0
E_tot in eV per cell: -16.034
N(E_F) in states/eV/cell: 5.39
Space group: P4/mmm
Total magnetic moment in μB/cell: 2.270

Cell: 4.5838 4.5838 3.3832 Å, 90.00 90.00 90.00°
Each line ends with the local moment (μB).
Atoms (fractional coordinates):
O  0.5000  0.5000  0.5000  1.17
S  0.5000  0.0000  0.0000  0.24
S  0.0000  0.5000  0.0000  0.24
N  0.0000  0.0000  0.5000  0.09
Ni  0.0000  0.0000  0.0000  0.08

Entry 5:
Material: NiSNO2
Method: DFT, GGA+U
State: optimized geometry

Summary:
E_tot in eV per cell: -21.506
N(E_F) in states/eV/cell: 0.78
Space group: P4/mmm
Total magnetic moment in μB/cell: 1.958

Cell: 3.4393 3.4393 4.0037 Å, 90.00 90.00 90.00°
Each line ends with the local moment (μB).
Atoms (fractional coordinates):
Ni  0.5000  0.5000  0.5000  1.75
N  0.0000  0.0000  0.5000  0.09
S  0.0000  0.0000  0.0000  0.02
O  0.5000  0.0000  0.0000  0.01
O  0.0000  0.5000  0.0000  0.01

Entry 6:
Material: NiSbN2O
Method: DFT, GGA+U
State: optimized geometry

Summary:
E_tot in eV per cell: -23.267
N(E_F) in states/eV/cell: 2.10
Space group: P4/mmm
Total magnetic moment in μB/cell: 2.524

Cell: 4.0303 4.0303 3.9230 Å, 90.00 90.00 90.00°
Each line ends with the local moment (μB).
Atoms (fractional coordinates):
N  0.5000  0.0000  0.0000  0.26
N  0.0000  0.5000  0.0000  0.26
Sb  0.0000  0.0000  0.0000  -0.02
Ni  0.5000  0.5000  0.5000  1.64
O  0.0000  0.0000  0.5000  0.14

Entry 7:
Material: NiSbNO2
Method: DFT, GGA+U
State: optimized geometry

Summary:
E_tot in eV per cell: -24.394
N(E_F) in states/eV/cell: 0.62
Space group: P4/mmm
Total magnetic moment in μB/cell: 2.050

Cell: 3.8945 3.8945 4.0976 Å, 90.00 90.00 90.00°
Each line ends with the local moment (μB).
Atoms (fractional coordinates):
Ni  0.5000  0.5000  0.5000  1.70
O  0.5000  0.0000  0.0000  0.03
O  0.0000  0.5000  0.0000  0.03
N  0.0000  0.0000  0.5000  0.19
Sb  0.0000  0.0000  0.0000  0.00

Entry 8:
Material: NiSbNO2
Method: DFT, GGA+U
State: optimized geometry

Summary:
E_tot in eV per cell: -24.122
N(E_F) in states/eV/cell: 2.59
Space group: P4/mmm
Total magnetic moment in μB/cell: 0.180

Cell: 3.7682 3.7682 3.8699 Å, 90.00 90.00 90.00°
Each line ends with the local moment (μB).
Atoms (fractional coordinates):
N  0.0000  0.0000  0.5000  -0.47
Sb  0.5000  0.5000  0.5000  -0.01
Ni  0.0000  0.0000  0.0000  1.16
O  0.0000  0.5000  0.0000  -0.15
O  0.5000  0.0000  0.0000  -0.15

Entry 9:
Material: NiSbN2O
Method: DFT, GGA+U
State: optimized geometry

Summary:
E_tot in eV per cell: -23.705
N(E_F) in states/eV/cell: 3.54
Space group: P4/mmm
Total magnetic moment in μB/cell: 0.790

Cell: 3.8364 3.8364 3.7726 Å, 90.00 90.00 90.00°
Each line ends with the local moment (μB).
Atoms (fractional coordinates):
O  0.0000  0.0000  0.5000  -0.25
Ni  0.0000  0.0000  0.0000  1.04
Sb  0.5000  0.5000  0.5000  0.00
N  0.5000  0.0000  0.0000  -0.58
N  0.0000  0.5000  0.0000  -0.58

Entry 10:
Material: NiSbN2O
Method: DFT, GGA+U
State: optimized geometry

Summary:
E_tot in eV per cell: -22.637
N(E_F) in states/eV/cell: 0.92
Space group: P4/mmm
Total magnetic moment in μB/cell: 1.100

Cell: 3.4647 5.6613 3.4647 Å, 90.00 90.00 90.00°
Each line ends with the local moment (μB).
Atoms (fractional coordinates):
Ni  0.0000  0.0000  0.0000  0.32
O  0.5000  0.5000  0.5000  0.03
Sb  0.0000  0.5000  0.0000  -0.04
N  0.5000  0.0000  0.0000  0.38
N  0.0000  0.0000  0.5000  0.24

Entry 11:
Material: NiSeN2O
Method: DFT, GGA+U
State: optimized geometry

Summary:
E_tot in eV per cell: -19.311
N(E_F) in states/eV/cell: 3.93
Space group: P4/mmm
Total magnetic moment in μB/cell: 1.265

Cell: 3.3919 3.3919 6.5321 Å, 90.00 90.00 90.00°
Each line ends with the local moment (μB).
Atoms (fractional coordinates):
N  0.0000  0.5000  0.0000  0.23
N  0.5000  0.0000  0.0000  0.23
Se  0.0000  0.0000  0.5000  0.23
O  0.5000  0.5000  0.5000  0.08
Ni  0.0000  0.0000  0.0000  0.20

Entry 12:
Material: NiSeNO2
Method: DFT, GGA+U
State: optimized geometry

Summary:
E_tot in eV per cell: -20.308
N(E_F) in states/eV/cell: 3.07
Space group: P4/mmm
Total magnetic moment in μB/cell: 0.571

Cell: 3.6985 3.6985 3.8469 Å, 90.00 90.00 90.00°
Each line ends with the local moment (μB).
Atoms (fractional coordinates):
Ni  0.0000  0.0000  0.0000  1.13
O  0.5000  0.0000  0.0000  -0.10
O  0.0000  0.5000  0.0000  -0.10
N  0.0000  0.0000  0.5000  -0.29
Se  0.5000  0.5000  0.5000  0.04

Please write out number 7 again, unchanged.
Material: NiSbNO2
Method: DFT, GGA+U
State: optimized geometry

Summary:
E_tot in eV per cell: -24.394
N(E_F) in states/eV/cell: 0.62
Space group: P4/mmm
Total magnetic moment in μB/cell: 2.050

Cell: 3.8945 3.8945 4.0976 Å, 90.00 90.00 90.00°
Each line ends with the local moment (μB).
Atoms (fractional coordinates):
Ni  0.5000  0.5000  0.5000  1.70
O  0.5000  0.0000  0.0000  0.03
O  0.0000  0.5000  0.0000  0.03
N  0.0000  0.0000  0.5000  0.19
Sb  0.0000  0.0000  0.0000  0.00

Q: What is the formula in the sixth record?
A: NiSbN2O